[1]
MnSi2Tc | PBE | relaxed

a b c (Å): 7.9083 7.9083 7.9083
angles (deg): 20.42 20.42 20.42
With the nearest neighbours (Å) after each atom.
Positions (direct):
Mn: 0.7468 0.7468 0.7468  3 Si 2.41, 3 Tc 2.58
Si: 0.0033 0.0033 0.0033  3 Mn 2.41, 3 Si 2.58
Si: 0.2500 0.2500 0.2500  3 Tc 2.52, 9 Si 2.58-2.80
Tc: 0.5000 0.5000 0.5000  3 Si 2.52, 3 Mn 2.58, 6 Tc 2.80

Calculated values
Its uncorrected energy is -7.629 eV/atom. As for the distance to the lowest polymorph of the same formula: 331 meV per atom. The formation energy (no corrections) comes out at -0.033 eV/atom.

***

[2]
Nd2ErSb | PBE | relaxed

a b c (Å): 4.9208 4.8515 4.8515
angles (deg): 90.00 90.00 90.00
With the nearest neighbours (Å) after each atom.
Positions (direct):
Sb: 0.5000 0.0000 0.0000  4 Er 3.43, 8 Nd 3.46
Nd: 0.0000 0.0000 0.5000  4 Nd 3.43, 4 Sb 3.46, 4 Er 3.46
Nd: 0.0000 0.5000 0.0000  4 Nd 3.43, 4 Sb 3.46, 4 Er 3.46
Er: 0.5000 0.5000 0.5000  4 Sb 3.43, 8 Nd 3.46

Calculated values
Its uncorrected energy is -5.065 eV/atom. As for the distance to the lowest polymorph of the same formula: 0 meV per atom. The formation energy (no corrections) comes out at -0.510 eV/atom.